(1)
# GGA-PBE Ac4Ru2Cl, relaxed
# - crystal system = trigonal
# - electronic total energy (eV/atom) = -5.866
data_Ac4Ru2Cl
_space_group_name_H-M_alt 'R -3 m'
_space_group_IT_number 166
_space_group_name_Hall '-R 3 2"'
_cell_length_a 4.3025
_cell_length_b 4.3025
_cell_length_c 44.3681
_cell_angle_alpha 90.00
_cell_angle_beta 90.00
_cell_angle_gamma 120.00
loop_
_atom_site_label
_atom_site_fract_x
_atom_site_fract_y
_atom_site_fract_z
Ac1 0.0000 0.0000 0.1250
Ac2 0.0000 0.0000 0.2798
Ru1 0.0000 0.0000 0.4238
Cl1 0.0000 0.0000 0.0000

(2)
# GGA-PBE Y2CuTe4, relaxed
# - crystal system = monoclinic
# - electronic total energy (eV/atom) = -5.192
data_Y2CuTe4
_space_group_name_H-M_alt 'P 1 21/m 1'
_space_group_IT_number 11
_cell_length_a 7.577
_cell_length_b 6.243
_cell_length_c 8.614
_cell_angle_alpha 90.00
_cell_angle_beta 106.42
_cell_angle_gamma 90.00
loop_
_space_group_symop_operation_xyz
'x,y,z'
'-x,-y,-z'
'-x,y+1/2,-z'
'x,-y+1/2,z'
loop_
_atom_site_label
_atom_site_fract_x
_atom_site_fract_y
_atom_site_fract_z
Y1 0.219 0.250 0.429
Y2 0.251 0.250 0.938
Cu1 0.220 0.750 0.678
Te1 0.071 0.750 0.376
Te2 0.078 0.750 0.911
Te3 0.491 0.504 0.253

(3)
# GGA-PBE Sr3HfNb, relaxed
# - crystal system = cubic
# - formation enthalpy at 0 K (meV/atom) = 1473
# - excess energy over the best structure of this formula in the dataset (meV per atom) = 0
data_Sr3HfNb
_space_group_name_H-M_alt 'P m -3 m'
_space_group_IT_number 221
_space_group_name_Hall '-P 4 2 3'
_cell_length_a 5.759
_cell_length_b 5.759
_cell_length_c 5.759
_cell_angle_alpha 90.00
_cell_angle_beta 90.00
_cell_angle_gamma 90.00
loop_
_atom_site_label
_atom_site_fract_x
_atom_site_fract_y
_atom_site_fract_z
Sr1 0.000 0.000 0.500
Hf1 0.500 0.500 0.500
Nb1 0.000 0.000 0.000

(4)
# GGA-PBE ReAg2HgBi, relaxed
# - crystal system = tetragonal
# - formation enthalpy at 0 K (meV/atom) = 1667
data_ReAg2HgBi
_space_group_name_H-M_alt 'P 4/m m m'
_space_group_IT_number 123
_space_group_name_Hall '-P 4 2'
_cell_length_a 5.114
_cell_length_b 5.114
_cell_length_c 5.708
_cell_angle_alpha 90.00
_cell_angle_beta 90.00
_cell_angle_gamma 90.00
loop_
_atom_site_label
_atom_site_fract_x
_atom_site_fract_y
_atom_site_fract_z
Re1 0.000 0.000 0.000
Ag1 0.000 0.500 0.500
Hg1 0.500 0.500 0.500
Bi1 0.500 0.500 0.000

D(E_F), respectively: 0.522 0.081 2.293 0.522 states/eV per atom.